Version i
# Pm2ScSb

Pm2ScSb after structural relaxation (GGA-PBE, Alexandria via LeMat-Bulk).

Calculated values
Symmetry: R-3m (166)

abc: 3.477 3.477 12.029
angles: 81.69 81.69 60.00
Fractional coordinates of all 4 atoms:
Sc (0.500, 0.500, 0.500)
Pm (0.089, 0.089, 0.734)
Sb (0.000, 0.000, 0.000)
Pm (0.911, 0.911, 0.266)

---

Version ii
# Pm2ScSb

Pm2ScSb after structural relaxation (GGA-PBE, Alexandria via LeMat-Bulk).

Calculated values
Symmetry: P4/mmm (123)

abc: 4.798 4.757 4.757
angles: 90.00 90.00 90.00
Fractional coordinates of all 4 atoms:
Sb (0.500, 0.500, 0.500)
Pm (0.000, 0.000, 0.500)
Sc (0.500, 0.000, 0.000)
Pm (0.000, 0.500, 0.000)

---

Version iii
# Pm2ScSb

Pm2ScSb after structural relaxation (GGA-PBE, Alexandria via LeMat-Bulk).

Calculated values
Symmetry: P4/mmm (123)

abc: 4.172 4.172 6.577
angles: 90.00 90.00 90.00
Fractional coordinates of all 4 atoms:
Sb (0.500, 0.500, 0.000)
Pm (0.000, 0.000, 0.240)
Pm (0.000, 0.000, 0.760)
Sc (0.500, 0.500, 0.500)

---

Stability, lowest: version i

---

Version i
# PmSbSe3

PmSbSe3 after structural relaxation (GGA-PBE, Alexandria via LeMat-Bulk).

Calculated values
Symmetry: P2_1/m (11)

abc: 5.661 7.062 7.141
angles: 90.00 106.55 90.00
Fractional coordinates of all 10 atoms:
Sb (0.412, 0.250, 0.897)
Se (0.297, 0.529, 0.650)
Pm (0.181, 0.250, 0.308)
Sb (0.588, 0.750, 0.103)
Se (0.703, 0.029, 0.350)
Se (0.297, 0.971, 0.650)
Se (0.872, 0.250, 0.897)
Se (0.703, 0.471, 0.350)
Pm (0.819, 0.750, 0.692)
Se (0.128, 0.750, 0.103)

---

Version ii
# PmSbSe3

PmSbSe3 after structural relaxation (GGA-PBE, Alexandria via LeMat-Bulk).

Calculated values
Symmetry: Pnma (62)

abc: 4.169 11.123 13.235
angles: 90.00 90.00 90.00
Fractional coordinates of all 20 atoms:
Se (0.250, 0.960, 0.131)
Sb (0.250, 0.180, 0.942)
Sb (0.250, 0.680, 0.558)
Pm (0.750, 0.496, 0.859)
Se (0.250, 0.831, 0.712)
Se (0.250, 0.647, 0.955)
Se (0.250, 0.331, 0.788)
Sb (0.750, 0.820, 0.058)
Pm (0.250, 0.504, 0.141)
Se (0.250, 0.460, 0.369)
Se (0.750, 0.853, 0.455)
Se (0.750, 0.040, 0.869)
Pm (0.250, 0.004, 0.359)
Pm (0.750, 0.996, 0.641)
Se (0.250, 0.147, 0.545)
Se (0.750, 0.669, 0.212)
Sb (0.750, 0.320, 0.442)
Se (0.750, 0.540, 0.631)
Se (0.750, 0.169, 0.288)
Se (0.750, 0.353, 0.045)

---

Stability, lowest: version i

---

Version i
# Pm2SbSe

Pm2SbSe after structural relaxation (GGA-PBE, Alexandria via LeMat-Bulk).

Calculated values
Symmetry: R3m (160)

abc: 4.256 4.256 7.973
angles: 74.52 74.52 60.00
Fractional coordinates of all 4 atoms:
Pm (0.083, 0.083, 0.752)
Se (0.499, 0.499, 0.504)
Sb (0.668, 0.668, 0.997)
Pm (0.251, 0.251, 0.247)

---

Version ii
# Pm2SbSe

Pm2SbSe after structural relaxation (GGA-PBE, Alexandria via LeMat-Bulk).

Calculated values
Symmetry: P4/mmm (123)

abc: 3.667 5.405 5.405
angles: 90.00 90.00 90.00
Fractional coordinates of all 4 atoms:
Pm (0.000, 0.500, 0.000)
Pm (0.000, 0.000, 0.500)
Se (0.500, 0.000, 0.000)
Sb (0.500, 0.500, 0.500)

---

Version iii
# Pm2SbSe

Pm2SbSe after structural relaxation (GGA-PBE, Alexandria via LeMat-Bulk).

Calculated values
Symmetry: C2/m (12)

abc: 4.358 4.361 7.511
angles: 106.81 90.00 119.98
Fractional coordinates of all 4 atoms:
Sb (0.000, 0.000, 0.500)
Pm (0.246, 0.492, 0.239)
Pm (0.754, 0.508, 0.761)
Se (0.500, 0.000, 0.000)

---

Stability, lowest: version ii